The following is a PBE calculation of an optimized crystal structure of Ba3Cd4Sn2, from Alexandria.

a b c (Å): 6.7720 6.7720 10.0596
angles (deg): 108.03 108.03 44.57
With the nearest neighbours (Å) after each atom.
Sites, in units of the cell vectors:
Ba: 0.0000 0.0000 0.0000  4 Sn 3.62, 8 Cd 3.63-3.76
Ba: 0.3281 0.3281 0.3357  8 Cd 3.67-3.81, 4 Sn 3.68-3.79
Ba: 0.6719 0.6719 0.6643  8 Cd 3.67-3.81, 4 Sn 3.68-3.79
Cd: 0.0528 0.0528 0.3901  1 Cd 2.93, 2 Sn 2.99
Cd: 0.2862 0.2862 0.9567  2 Cd 2.95, 1 Sn 3.05
Cd: 0.7138 0.7138 0.0433  2 Cd 2.95, 1 Sn 3.05
Cd: 0.9472 0.9472 0.6099  1 Cd 2.93, 2 Sn 2.99
Sn: 0.4012 0.4012 0.7333  3 Cd 2.99-3.05
Sn: 0.5988 0.5988 0.2667  3 Cd 2.99-3.05

DFT formation energy, kcal/mol of atoms: -10.88
Volume, Å³ per atom: 33.90
N(E_F), states/eV per atom: 0.371
SG: C2/m, No. 12